Material: HgSb2Br
Method: DFT, PBE
State: optimized geometry

abc: 12.852 3.657 5.171
angles: 90.00 113.37 90.00
Space group C2/m (No. 12)
Unique sites:
Hg1 0.000 0.000 0.000 [2 per cell]
Sb1 0.204 0.500 0.209 [4 per cell]
Br1 0.000 0.500 0.500 [2 per cell]

Material: ZnP2CCl
Method: DFT, PBE
State: optimized geometry

abc: 4.666 4.666 4.789
angles: 90.00 90.00 90.00
Space group P4/mmm (No. 123)
Unique sites:
Zn1 0.000 0.000 0.000 [1 per cell]
P1 0.000 0.500 0.000 [2 per cell]
C1 0.500 0.500 0.500 [1 per cell]
Cl1 0.000 0.000 0.500 [1 per cell]

no.,total DFT energy (no corrections) (eV per atom),N(E_F) (states/eV per cell)
1,-2.4666,3.6
2,-2.6629,5.4